(1)
DFT (GGA-PBEsol) results for a geometry-optimized Li3TiFe3O8 structure.

Cell lengths 5.5739, 5.5739, 5.8097 Å; angles 61.33, 61.33, 60.00 degrees
Last column: magnetic moment on the atom in μB.
Fractional positions:
1 Li 0.0000 0.0000 0.5000  0.00
2 Li 0.0000 0.5000 0.5000  0.00
3 Fe 0.5000 0.0000 0.0000  0.98
4 O 0.7571 0.7571 0.2226  0.02
5 Ti 0.0000 0.0000 0.0000  -0.10
6 O 0.2429 0.2429 0.7774  0.02
7 O 0.7571 0.2632 0.2226  0.02
8 O 0.7368 0.2429 0.7774  0.02
9 Fe 0.0000 0.5000 0.0000  0.98
10 O 0.7394 0.7394 0.7819  0.00
11 O 0.2606 0.2606 0.2181  0.00
12 O 0.2429 0.7368 0.7774  0.02
13 Li 0.5000 0.0000 0.5000  0.00
14 O 0.2632 0.7571 0.2226  0.02
15 Fe 0.5000 0.5000 0.0000  0.98


(2)
DFT (GGA-PBEsol) results for a geometry-optimized Li2TiFe3O8 structure.

Cell lengths 5.5931, 5.5931, 9.2931 Å; angles 90.00, 90.00, 120.00 degrees
Last column: magnetic moment on the atom in μB.
Fractional positions:
1 O 0.8350 0.1650 0.3980  0.01
2 Fe 0.1743 0.8257 0.2848  1.25
3 Li 0.0000 0.0000 0.0042  0.00
4 O 0.6667 0.3333 0.8988  0.07
5 O 0.3333 0.6667 0.3988  0.07
6 O 0.3301 0.1650 0.3980  0.01
7 O 0.9646 0.4823 0.6625  0.02
8 Li 0.3333 0.6667 0.6068  0.00
9 Fe 0.8257 0.1743 0.7848  1.25
10 O 0.0000 0.0000 0.6950  0.02
11 Ti 0.6667 0.3333 0.5041  -0.01
12 O 0.8350 0.6699 0.3980  0.01
13 Li 0.0000 0.0000 0.5042  0.00
14 O 0.0000 0.0000 0.1950  0.02
15 Fe 0.6514 0.8257 0.2848  1.25
16 O 0.5177 0.0354 0.6625  0.02
17 Fe 0.3486 0.1743 0.7848  1.25
18 Ti 0.3333 0.6667 0.0041  -0.01
19 O 0.1650 0.8350 0.8980  0.01
20 O 0.4823 0.5177 0.1625  0.02
21 O 0.5177 0.4823 0.6625  0.02
22 Li 0.6667 0.3333 0.1068  0.00
23 Fe 0.8257 0.6514 0.7848  1.25
24 O 0.0354 0.5177 0.1625  0.02
25 Fe 0.1743 0.3486 0.2848  1.25
26 O 0.1650 0.3301 0.8980  0.01
27 O 0.6699 0.8350 0.8980  0.01
28 O 0.4823 0.9646 0.1625  0.02


(3)
DFT (GGA-PBEsol) results for a geometry-optimized LiTiFeO4 structure.

Cell lengths 5.8539, 5.7041, 5.5937 Å; angles 119.36, 90.00, 120.87 degrees
Last column: magnetic moment on the atom in μB.
Fractional positions:
1 Fe 0.0000 0.0000 0.0000  0.98
2 Ti 0.5000 0.5000 0.5000  -0.06
3 O 0.2435 0.4871 0.7254  0.01
4 O 0.2192 0.9858 0.7429  0.02
5 Li 0.5000 0.0000 0.0000  0.00
6 Li 0.5000 0.0000 0.5000  0.00
7 Ti 0.0000 0.5000 0.5000  -0.06
8 O 0.7808 0.0142 0.2571  0.02
9 Fe 0.0000 0.0000 0.5000  0.98
10 O 0.7565 0.5129 0.7383  0.01
11 O 0.2435 0.4871 0.2617  0.01
12 O 0.7666 0.9858 0.7429  0.02
13 O 0.2334 0.0142 0.2571  0.02
14 O 0.7565 0.5129 0.2746  0.01


(4)
DFT (GGA-PBEsol) results for a geometry-optimized Li4TiFe3O8 structure.

Cell lengths 5.0473, 5.4416, 6.3372 Å; angles 90.51, 90.25, 90.10 degrees
Last column: magnetic moment on the atom in μB.
Fractional positions:
1 O 0.8633 0.0785 0.1214  0.08
2 Fe 0.0003 0.4220 0.6291  -3.49
3 O 0.3774 0.9249 0.8830  0.09
4 Li 0.9987 0.9193 0.3780  0.00
5 Ti 0.4997 0.0794 0.1230  0.06
6 O 0.8889 0.5893 0.8683  -0.02
7 O 0.3895 0.4005 0.1308  0.09
8 Li 0.9983 0.4221 0.1260  0.00
9 O 0.3910 0.9126 0.3580  0.09
10 Fe 0.5120 0.5746 0.3845  3.46
11 O 0.8897 0.0993 0.6344  -0.02
12 O 0.3652 0.4240 0.6156  -0.01
13 O 0.8750 0.5771 0.3880  0.01
14 Li 0.4944 0.5805 0.8747  0.00
15 Fe 0.9886 0.9140 0.8631  3.41
16 Li 0.4945 0.0821 0.6220  0.00


(5)
DFT (GGA-PBEsol) results for a geometry-optimized Li2TiFe3O8 structure.

Cell lengths 5.6988, 5.6988, 5.6988 Å; angles 59.72, 59.72, 59.72 degrees
Last column: magnetic moment on the atom in μB.
Fractional positions:
1 Li 0.1237 0.1237 0.1237  0.00
2 O 0.7428 0.7428 0.2839  0.02
3 Li 0.8763 0.8763 0.8763  0.00
4 O 0.2572 0.2572 0.7161  0.02
5 O 0.7356 0.7356 0.7356  0.03
6 O 0.7428 0.2839 0.7428  0.02
7 O 0.2572 0.7161 0.2572  0.02
8 O 0.7161 0.2572 0.2572  0.02
9 Ti 0.5000 0.5000 0.5000  -0.07
10 Fe 0.5000 0.5000 0.0000  1.28
11 O 0.2644 0.2644 0.2644  0.03
12 Fe 0.5000 0.0000 0.5000  1.28
13 O 0.2839 0.7428 0.7428  0.02
14 Fe 0.0000 0.5000 0.5000  1.28


(6)
DFT (GGA-PBEsol) results for a geometry-optimized Li4V3FeO10 structure.

Cell lengths 4.4891, 6.5553, 6.5553 Å; angles 90.00, 90.00, 90.00 degrees
Last column: magnetic moment on the atom in μB.
Fractional positions:
1 V 0.5000 0.5000 0.5000  -0.41
2 O 0.2587 0.2321 0.0000  0.12
3 V 0.6119 0.0000 0.5000  -0.49
4 O 0.7413 0.0000 0.7679  0.12
5 O 0.2436 0.0000 0.5000  0.05
6 Li 0.0000 0.2413 0.2413  0.00
7 Li 0.0000 0.7587 0.2413  0.00
8 O 0.2587 0.7679 0.0000  0.12
9 O 0.7310 0.2874 0.5000  0.02
10 O 0.2690 0.5000 0.2874  0.02
11 V 0.3881 0.5000 0.0000  -0.49
12 O 0.7310 0.7126 0.5000  0.02
13 O 0.7413 0.0000 0.2321  0.12
14 O 0.2690 0.5000 0.7126  0.02
15 O 0.7564 0.5000 0.0000  0.05
16 Li 0.0000 0.2413 0.7587  0.00
17 Li 0.0000 0.7587 0.7587  0.00
18 Fe 0.5000 0.0000 0.0000  3.61


(7)
DFT (GGA-PBEsol) results for a geometry-optimized LiVFeO4 structure.

Cell lengths 5.1202, 5.1202, 6.0703 Å; angles 90.00, 90.00, 112.88 degrees
Last column: magnetic moment on the atom in μB.
Fractional positions:
1 Fe 0.5000 0.5000 0.5000  3.55
2 O 0.2623 0.2244 0.2500  0.08
3 Li 0.8381 0.1619 0.2500  0.00
4 O 0.7325 0.2675 0.5252  0.06
5 Li 0.1619 0.8381 0.7500  0.00
6 O 0.2244 0.2623 0.7500  0.08
7 O 0.7325 0.2675 0.9748  0.06
8 V 0.1479 0.8521 0.2500  0.05
9 Fe 0.5000 0.5000 0.0000  3.55
10 O 0.7377 0.7756 0.7500  0.08
11 O 0.2675 0.7325 0.0252  0.06
12 V 0.8521 0.1479 0.7500  0.05
13 O 0.7756 0.7377 0.2500  0.08
14 O 0.2675 0.7325 0.4748  0.06


(8)
DFT (GGA-PBEsol) results for a geometry-optimized Li2V3FeO8 structure.

Cell lengths 5.7508, 5.7508, 5.7508 Å; angles 59.62, 59.62, 59.62 degrees
Last column: magnetic moment on the atom in μB.
Fractional positions:
1 Fe 0.5000 0.5000 0.5000  1.44
2 O 0.2617 0.2617 0.7154  0.00
3 O 0.2846 0.7383 0.7383  0.00
4 V 0.5000 0.5000 0.0000  0.90
5 O 0.7154 0.2617 0.2617  0.00
6 O 0.7383 0.7383 0.2846  0.00
7 V 0.5000 0.0000 0.5000  0.90
8 V 0.0000 0.5000 0.5000  0.90
9 Li 0.8748 0.8748 0.8748  0.00
10 O 0.7402 0.7402 0.7402  -0.01
11 O 0.7383 0.2846 0.7383  0.00
12 O 0.2598 0.2598 0.2598  -0.01
13 O 0.2617 0.7154 0.2617  0.00
14 Li 0.1252 0.1252 0.1252  0.00


(9)
DFT (GGA-PBEsol) results for a geometry-optimized Li4V3FeO8 structure.

Cell lengths 5.8847, 5.8847, 5.8847 Å; angles 55.54, 55.54, 55.54 degrees
Last column: magnetic moment on the atom in μB.
Fractional positions:
1 O 0.2441 0.2441 0.7487  0.00
2 O 0.7559 0.2513 0.7559  0.00
3 O 0.2513 0.7559 0.7559  0.00
4 V 0.0000 0.5000 0.5000  0.11
5 Li 0.0000 0.5000 0.0000  0.00
6 O 0.2510 0.2510 0.2510  0.00
7 Li 0.0000 0.0000 0.5000  0.00
8 Li 0.5000 0.5000 0.5000  0.00
9 O 0.7559 0.7559 0.2513  0.00
10 V 0.5000 0.5000 0.0000  0.11
11 Fe 0.0000 0.0000 0.0000  -0.01
12 Li 0.5000 0.0000 0.0000  0.00
13 O 0.7490 0.7490 0.7490  0.00
14 V 0.5000 0.0000 0.5000  0.11
15 O 0.7487 0.2441 0.2441  0.00
16 O 0.2441 0.7487 0.2441  0.00


(10)
DFT (GGA-PBEsol) results for a geometry-optimized Li5V3Fe2O10 structure.

Cell lengths 4.9035, 5.0231, 7.7987 Å; angles 109.14, 101.46, 100.04 degrees
Last column: magnetic moment on the atom in μB.
Fractional positions:
1 Li 0.6088 0.7060 0.2259  0.00
2 Li 0.2043 0.9212 0.4123  0.00
3 O 0.8518 0.6988 0.4494  0.27
4 Fe 0.0959 0.6853 0.6784  3.63
5 V 0.3291 0.0940 0.0962  -0.42
6 Li 0.7957 0.0788 0.5877  0.00
7 O 0.5326 0.0923 0.3245  0.07
8 O 0.7624 0.5357 0.7723  0.07
9 O 0.0474 0.1007 0.8680  0.05
10 O 0.6534 0.3091 0.0444  0.04
11 O 0.2376 0.4643 0.2277  0.07
12 Li 0.3912 0.2940 0.7741  0.00
13 Li 0.5000 0.5000 0.5000  0.00
14 O 0.9526 0.8993 0.1320  0.05
15 O 0.4674 0.9077 0.6755  0.07
16 O 0.1482 0.3012 0.5506  0.27
17 O 0.3466 0.6909 0.9556  0.04
18 Fe 0.9041 0.3147 0.3216  3.63
19 V 0.0000 0.5000 0.0000  1.43
20 V 0.6709 0.9060 0.9038  -0.42


(11)
DFT (GGA-PBEsol) results for a geometry-optimized Li2V3FeO8 structure.

Cell lengths 5.7063, 5.7063, 5.8430 Å; angles 60.77, 60.77, 60.00 degrees
Last column: magnetic moment on the atom in μB.
Fractional positions:
1 O 0.7511 0.7511 0.2184  -0.11
2 Fe 0.8767 0.8767 0.3700  -3.56
3 O 0.7188 0.2505 0.7802  -0.01
4 Li 0.5019 0.5019 0.4943  0.00
5 O 0.7413 0.7413 0.7762  -0.06
6 O 0.2505 0.7188 0.7802  -0.01
7 V 0.4924 0.0185 0.9966  0.99
8 O 0.2793 0.7511 0.2184  -0.11
9 O 0.2505 0.2505 0.7802  -0.01
10 O 0.2542 0.2542 0.2373  0.01
11 V 0.0185 0.4924 0.9966  0.99
12 Li 0.1212 0.1212 0.6364  0.01
13 V 0.4924 0.4924 0.9966  0.99
14 O 0.7511 0.2793 0.2184  -0.11


(12)
DFT (GGA-PBEsol) results for a geometry-optimized Li3V2Fe2O8 structure.

Cell lengths 5.6376, 5.6796, 5.7802 Å; angles 60.57, 61.20, 59.75 degrees
Last column: magnetic moment on the atom in μB.
Fractional positions:
1 Fe 0.5000 0.0000 0.5000  0.94
2 O 0.7594 0.2552 0.7301  0.07
3 O 0.7566 0.7587 0.7261  -0.01
4 Li 0.5000 0.0000 0.0000  0.00
5 O 0.7467 0.2257 0.2716  0.10
6 Li 0.5000 0.5000 0.0000  0.00
7 V 0.0000 0.5000 0.5000  -1.06
8 O 0.2434 0.2413 0.2739  -0.01
9 V 0.0000 0.0000 0.5000  -1.06
10 O 0.2533 0.2441 0.7284  0.10
11 O 0.7467 0.7559 0.2716  0.10
12 Fe 0.0000 0.0000 0.0000  3.70
13 O 0.2533 0.7743 0.7284  0.10
14 O 0.2406 0.7448 0.2699  0.07
15 Li 0.5000 0.5000 0.5000  0.01


no.,density (g/cm³),D(E_F) (states/eV per atom),E (eV per atom)
1,4.6,0.502,-7.373
2,4.7,0.533,-7.642
3,4.4,0.507,-7.852
4,3.5,0.408,-7.208
5,4.6,0.758,-7.650
6,3.4,0.231,-7.621
7,4.0,0.437,-7.895
8,4.4,0.948,-8.120
9,4.7,0.455,-7.595
10,4.4,0.495,-7.439
11,4.3,0.482,-8.137
12,4.5,0.458,-7.597